(1)
# Th4TlIn5

A relaxed structure of Th4TlIn5 (PBE, Alexandria via LeMat-Bulk).

Lattice parameters (Å, degrees): 8.052 10.722 7.002 90.00 90.00 90.00
Element x y z (fractional)
Th 0.808 0.000 0.749
Th 0.496 0.683 0.000
Th 0.496 0.317 0.000
Th 0.808 0.000 0.251
Th 0.192 0.500 0.249
Th 0.504 0.817 0.500
Th 0.504 0.183 0.500
Th 0.192 0.500 0.751
Tl 0.449 0.000 0.000
Tl 0.551 0.500 0.500
In 0.164 0.810 0.790
In 0.164 0.190 0.790
In 0.838 0.500 0.000
In 0.164 0.810 0.210
In 0.164 0.190 0.210
In 0.836 0.690 0.290
In 0.836 0.310 0.290
In 0.162 0.000 0.500
In 0.836 0.310 0.710
In 0.836 0.690 0.710

Computed properties:
Calculated formation energy = -0.006 eV per atom
Spin magnetization = 0.00 μB per cell
Electronic total energy = -4.580 eV per atom



(2)
# Th3TlIn

A relaxed structure of Th3TlIn (PBE, Alexandria via LeMat-Bulk).

Lattice parameters (Å, degrees): 4.811 6.985 9.844 90.00 90.00 90.00
Element x y z (fractional)
Th 0.000 0.770 0.303
Th 0.500 0.730 0.697
Th 0.500 0.270 0.697
Th 0.000 0.230 0.303
Th 0.000 0.000 0.921
Th 0.500 0.500 0.079
Tl 0.000 0.000 0.587
Tl 0.500 0.500 0.413
In 0.500 0.000 0.135
In 0.000 0.500 0.865

Computed properties:
Calculated formation energy = 0.070 eV per atom
Spin magnetization = 0.00 μB per cell
Electronic total energy = -5.403 eV per atom



(3)
# Th4TlIn2

A relaxed structure of Th4TlIn2 (PBE, Alexandria via LeMat-Bulk).

Lattice parameters (Å, degrees): 5.789 6.632 11.588 90.00 107.56 90.00
Element x y z (fractional)
Th 0.610 0.503 0.275
Th 0.996 0.750 0.863
Th 0.004 0.250 0.137
Th 0.610 0.997 0.275
Th 0.791 0.250 0.564
Th 0.390 0.003 0.725
Th 0.390 0.497 0.725
Th 0.209 0.750 0.436
Tl 0.076 0.750 0.154
Tl 0.924 0.250 0.846
In 0.568 0.750 0.005
In 0.432 0.250 0.995
In 0.209 0.250 0.432
In 0.791 0.750 0.568

Computed properties:
Calculated formation energy = -0.083 eV per atom
Spin magnetization = 0.00 μB per cell
Electronic total energy = -5.443 eV per atom
Energy above the lowest structure with this stoichiometry = 0.0 kJ/mol of atoms



(4)
# Th4Tl5In

A relaxed structure of Th4Tl5In (PBE, Alexandria via LeMat-Bulk).

Lattice parameters (Å, degrees): 8.077 10.758 7.226 90.00 90.00 90.00
Element x y z (fractional)
Th 0.809 0.000 0.748
Th 0.499 0.680 0.000
Th 0.499 0.320 0.000
Th 0.809 0.000 0.252
Th 0.191 0.500 0.248
Th 0.501 0.820 0.500
Th 0.501 0.180 0.500
Th 0.191 0.500 0.752
Tl 0.171 0.808 0.792
Tl 0.171 0.192 0.792
Tl 0.843 0.500 0.000
Tl 0.171 0.808 0.208
Tl 0.171 0.192 0.208
Tl 0.829 0.692 0.292
Tl 0.829 0.308 0.292
Tl 0.157 0.000 0.500
Tl 0.829 0.308 0.708
Tl 0.829 0.692 0.708
In 0.461 0.000 0.000
In 0.539 0.500 0.500

Computed properties:
Calculated formation energy = 0.125 eV per atom
Spin magnetization = 0.00 μB per cell
Electronic total energy = -4.300 eV per atom



(5)
# Th2Tl3In3

A relaxed structure of Th2Tl3In3 (PBE, Alexandria via LeMat-Bulk).

Lattice parameters (Å, degrees): 4.765 4.783 9.611 90.00 90.00 90.00
Element x y z (fractional)
Th 0.000 0.000 0.748
Th 0.000 0.000 0.252
Tl 0.500 0.500 0.746
Tl 0.500 0.500 0.254
Tl 0.500 0.000 0.000
In 0.500 0.000 0.500
In 0.000 0.500 0.000
In 0.000 0.500 0.500

Computed properties:
Calculated formation energy = -0.239 eV per atom
Spin magnetization = 0.00 μB per cell
Electronic total energy = -4.008 eV per atom



(6)
# Th12Tl3In

A relaxed structure of Th12Tl3In (PBE, Alexandria via LeMat-Bulk).

Lattice parameters (Å, degrees): 4.961 4.961 19.848 90.00 90.00 90.00
Element x y z (fractional)
Th 0.500 0.500 0.000
Th 0.500 0.500 0.250
Th 0.500 0.500 0.500
Th 0.500 0.500 0.750
Th 0.500 0.000 0.124
Th 0.500 0.000 0.375
Th 0.500 0.000 0.625
Th 0.500 0.000 0.876
Th 0.000 0.500 0.124
Th 0.000 0.500 0.375
Th 0.000 0.500 0.625
Th 0.000 0.500 0.876
Tl 0.000 0.000 0.250
Tl 0.000 0.000 0.500
Tl 0.000 0.000 0.750
In 0.000 0.000 0.000

Computed properties:
Calculated formation energy = -0.085 eV per atom
Spin magnetization = 0.00 μB per cell
Electronic total energy = -6.265 eV per atom